An optimized crystal structure of LaSiTe3, computed with PBE-GGA.

SG: Pm-3m (221)
Crystal system: cubic
Total DFT energy (no corrections), eV per cell: -22.02
E above lowest polymorph, meV per atom: 402

Structure (extended XYZ):
```
5
Lattice="-4.731 -0.974 2.247 -0.566 -4.321 -3.065 2.383 -2.960 3.734" Properties=species:S:1:pos:R:3 pbc="T T T"
Te 1.191 -1.480 1.867
Te -0.283 -2.161 -1.532
Te -2.366 -0.487 1.123
La -1.457 -4.128 1.458
Si 0.000 0.000 0.000
```


An optimized crystal structure of La2BeNiPt6, computed with PBE-GGA.

SG: R-3m (166)
Calculated formation energy, eV per atom: -0.75
Crystal system: trigonal
Total DFT energy (no corrections), eV per cell: -63.07

Structure (extended XYZ):
```
10
Lattice="-4.565 3.273 1.518 -3.251 -1.631 -6.253 -6.390 -3.015 -1.549" Properties=species:S:1:pos:R:3 pbc="T T T"
Pt -12.097 -1.516 -4.920
Pt -9.690 -3.238 -5.719
Pt -4.515 1.866 -0.565
Pt -9.250 -0.419 -4.593
Pt -2.108 0.144 -1.364
Pt -4.955 -0.954 -1.691
Be -3.908 0.821 -2.367
La -7.812 0.175 -1.562
La -6.393 -1.548 -4.722
Ni 0.000 0.000 0.000
```


An optimized crystal structure of Sc3Cu2Rh2, computed with PBE-GGA.

SG: C2/m (12)
Calculated formation energy, eV per atom: -0.48
Crystal system: monoclinic
Total DFT energy (no corrections), eV per cell: -45.24

Structure (extended XYZ):
```
7
Lattice="-2.944 -3.347 -2.520 3.626 -0.812 3.521 -3.649 4.977 4.416" Properties=species:S:1:pos:R:3 pbc="T T T"
Sc -3.335 2.323 2.555
Sc 0.000 0.000 0.000
Sc 0.367 -1.506 2.861
Cu -1.696 3.147 4.849
Cu -1.271 -2.329 0.568
Rh -2.116 0.032 1.578
Rh -0.851 0.786 3.839
```


An optimized crystal structure of Zn2FeRe, computed with PBE-GGA.

SG: C2/m (12)
Calculated formation energy, eV per atom: 0.18
Crystal system: monoclinic
Total DFT energy (no corrections), eV per cell: -22.75
E above lowest polymorph, meV per atom: 132

Structure (extended XYZ):
```
4
Lattice="5.044 0.002 0.001 -2.322 4.478 0.001 0.433 0.713 2.438" Properties=species:S:1:pos:R:3 pbc="T T T"
Zn 1.361 2.240 0.001
Zn 0.000 0.000 0.000
Re -0.944 2.596 1.219
Fe 2.739 0.357 1.219
```